1.
VASP calculation (PBE) on an optimized crystal structure of Np2USe5.

Output
volume = 24.1 A^3/atom
raw formation energy = -1.18 eV per atom

```
Np2USe5
1.0
-2.180 -7.012 2.281
1.914 -3.026 -7.472
11.246 -2.262 3.796
Np U Se
8 4 20
Direct
0.475 0.502 0.821
0.525 0.498 0.179
0.975 0.498 0.679
0.525 0.002 0.179
0.025 0.502 0.321
0.475 0.998 0.821
0.025 0.998 0.321
0.975 0.002 0.679
0.420 0.250 0.509
0.580 0.750 0.491
0.920 0.750 0.991
0.080 0.250 0.009
0.037 0.250 0.499
0.963 0.750 0.501
0.537 0.750 0.001
0.463 0.250 0.999
0.330 0.951 0.595
0.670 0.049 0.405
0.830 0.049 0.905
0.670 0.451 0.405
0.170 0.951 0.095
0.330 0.549 0.595
0.170 0.549 0.095
0.830 0.451 0.905
0.199 0.250 0.781
0.801 0.750 0.219
0.699 0.750 0.719
0.301 0.250 0.281
0.668 0.250 0.688
0.332 0.750 0.312
0.168 0.750 0.812
0.832 0.250 0.188
```


2.
VASP calculation (PBE) on an optimized crystal structure of NpU5Se6.

Output
volume = 23.6 A^3/atom
raw formation energy = -0.99 eV per atom

```
NpU5Se6
1.0
6.675 -0.099 -1.258
-3.602 5.620 -1.258
0.250 0.450 7.415
Np U Se
1 5 6
Direct
0.000 0.000 0.000
0.834 0.166 0.500
0.668 0.332 0.000
0.500 0.500 0.500
0.332 0.668 0.000
0.166 0.834 0.500
0.417 0.085 0.250
0.915 0.583 0.750
0.253 0.253 0.752
0.747 0.747 0.248
0.085 0.417 0.250
0.583 0.915 0.750
```


3.
VASP calculation (PBE) on an optimized crystal structure of NpU4Se8.

Output
volume = 32.4 A^3/atom
raw formation energy = -1.02 eV per atom

```
NpU4Se8
1.0
8.413 0.000 0.000
4.207 7.286 0.000
4.207 2.429 6.869
Np U Se
1 4 8
Direct
0.750 0.750 0.750
0.890 0.370 0.370
0.370 0.890 0.370
0.370 0.370 0.890
0.370 0.370 0.370
0.605 0.132 0.132
0.132 0.605 0.132
0.132 0.132 0.605
0.132 0.132 0.132
0.158 0.614 0.614
0.614 0.158 0.614
0.614 0.614 0.158
0.614 0.614 0.614
```


4.
VASP calculation (PBE) on an optimized crystal structure of NpU2Se.

Output
volume = 23.5 A^3/atom
raw formation energy = 0.05 eV per atom

```
NpU2Se
1.0
3.644 0.000 0.000
1.822 3.155 0.000
1.822 1.052 8.164
Np U Se
1 2 1
Direct
0.000 0.000 0.000
0.753 0.753 0.742
0.247 0.247 0.258
0.500 0.500 0.500
```


5.
VASP calculation (PBE) on an optimized crystal structure of NpU3Se4.

Output
volume = 23.8 A^3/atom
polymorph energy (0 for the lowest one) = 0.0 meV per atom
raw formation energy = -1.00 eV per atom

```
NpU3Se4
1.0
5.751 0.000 0.000
0.000 5.751 0.000
0.000 0.000 5.751
Np U Se
1 3 4
Direct
0.000 0.000 0.000
0.000 0.500 0.500
0.500 0.000 0.500
0.500 0.500 0.000
0.500 0.000 0.000
0.000 0.500 0.000
0.000 0.000 0.500
0.500 0.500 0.500
```


6.
VASP calculation (PBE) on an optimized crystal structure of Np3U2Se6.

Output
volume = 25.7 A^3/atom
raw formation energy = -1.05 eV per atom

```
Np3U2Se6
1.0
-6.076 -3.378 0.441
-2.814 -2.864 -5.698
1.232 -6.854 1.407
Np U Se
3 2 6
Direct
0.000 0.000 0.000
0.332 0.336 0.000
0.668 0.664 0.000
0.166 0.668 0.500
0.834 0.332 0.500
0.420 0.675 0.740
0.745 0.000 0.743
0.095 0.325 0.740
0.255 0.000 0.257
0.580 0.325 0.260
0.905 0.675 0.260
```